# MnCr3Ge

A relaxed structure of MnCr3Ge (PBE-GGA, the Alexandria database).

Properties
Energy relative to the elements ... 4.97 eV/f.u.
Space-group type ... Pm-3m, No. 221
Total moment ... 3.9 μB/f.u.

Lattice parameters (Å, degrees): 4.2542 4.2542 4.2542 90.00 90.00 90.00
Atoms (fractional coordinates):
Cr: 0.0000 0.5000 0.0000
Cr: 0.0000 0.0000 0.5000
Cr: 0.5000 0.0000 0.0000
Ge: 0.5000 0.5000 0.5000
Mn: 0.0000 0.0000 0.0000